The following is a DFT calculation (PBE-GGA) of a relaxed PuIn2Sn2 crystal.

```
10
Lattice="4.566 0.000 0.000 0.000 4.505 0.000 -2.283 0.000 12.464" Properties=species:S:1:pos:R:3 pbc="T T T"
In 2.283 1.126 11.257
In 2.283 1.126 1.234
In 0.000 3.379 11.231
In 0.000 3.379 1.208
Pu 0.000 1.126 8.744
Pu 2.283 3.379 3.720
Sn 2.283 3.379 8.799
Sn 2.283 1.126 6.234
Sn 0.000 1.126 3.665
Sn 0.000 3.379 6.230
```

Computed properties:
- Calculated density: 9.2 g/cm3
- Size of the total moment: 1.15 μB/atom
- SG: No. 63
- Formation enthalpy at 0 K: -188 meV/atom